Entry 1:
A plane-wave DFT calculation with PBE was carried out for TaBr after structural relaxation.

- raw formation energy (eV per formula unit) = -0.11
- D(E_F) (states/eV per cell) = 1.92

Lattice parameters (Å, degrees): 3.0921 3.0921 9.3112 90.00 90.00 90.00
Closest atoms and distances in Å follow each position.
Space group P4/nmm (No. 129, origin choice 2)
Unique sites:
Ta 0.2500 0.2500 0.1150  4 Br 2.81, 8 Ta 3.06-3.09
Br 0.2500 0.2500 0.6950  4 Ta 2.81, 4 Br 3.09

=====

Entry 2:
A plane-wave DFT calculation with PBE was carried out for Tm3Sc2Zn2 after structural relaxation.

- calculated formation energy (meV/atom) = -96
- D(E_F) (states/eV per cell) = 20.64
- excess energy over the best structure of this formula in the dataset (meV per atom) = 16

Lattice parameters (Å, degrees): 3.4492 29.6208 3.3494 90.00 90.00 90.00
Closest atoms and distances in Å follow each position.
Space group Cmmm (No. 65)
Unique sites:
Tm 0.0000 0.0000 0.0000  8 Zn 3.00, 2 Tm 3.35
Tm 0.0000 0.1242 0.0000  4 Zn 3.05, 2 Tm 3.35, 4 Sc 3.38
Sc 0.0000 0.2956 0.5000  6 Sc 3.21-3.45, 4 Tm 3.38
Zn 0.0000 0.4392 0.5000  8 Tm 3.00-3.05, 2 Zn 3.35

=====

So what do the calculations give for uncorrected energy? Going down the list: -27.27; -58.59 eV/cell.